Entry 1:
Material: BiOsWF2
Method: DFT, GGA+U
State: optimized geometry

```
BiOsWF2
1.0
4.2531 0.0000 0.0000
0.0000 6.2630 0.0000
0.0000 0.0000 4.2531
F W Os Bi
2 1 1 1
Cartesian
0.0000 0.0000 2.1265
2.1265 0.0000 0.0000
0.0000 3.1315 0.0000
2.1265 3.1315 2.1265
0.0000 0.0000 0.0000
```

Results
ΔE to the lowest computed polymorph: 362 meV per atom



Entry 2:
Material: BiOsWF2
Method: DFT, GGA+U
State: optimized geometry

```
BiOsWF2
1.0
-0.4919 -0.7111 -4.2049
0.9167 -5.4615 0.8163
-4.2062 -0.6169 0.5963
F W Bi Os
2 1 1 1
Cartesian
-0.2459 -0.3555 -2.1024
-2.1031 -0.3084 0.2982
-1.8907 -3.3947 -1.3961
0.0000 0.0000 0.0000
0.4584 -2.7308 0.4082
```

Results
ΔE to the lowest computed polymorph: 0 meV per atom



Please write out number 2 again, unchanged.
Material: BiOsWF2
Method: DFT, GGA+U
State: optimized geometry

```
BiOsWF2
1.0
-0.4919 -0.7111 -4.2049
0.9167 -5.4615 0.8163
-4.2062 -0.6169 0.5963
F W Bi Os
2 1 1 1
Cartesian
-0.2459 -0.3555 -2.1024
-2.1031 -0.3084 0.2982
-1.8907 -3.3947 -1.3961
0.0000 0.0000 0.0000
0.4584 -2.7308 0.4082
```

Results
ΔE to the lowest computed polymorph: 0 meV per atom